Entry 1:
Below is Pm2Ho8Sc3 after structural relaxation, with properties calculated at the PBE level.

Properties
- Energy: -64.5 eV for the cell shown
- ΔE_f: 45 meV/atom
- DOS at the Fermi energy: 1.586 states/eV/atom

The structure in extended XYZ format:
```
13
Lattice="6.0349 0.0000 0.0000 -0.9997 5.9645 0.0000 -1.9930 -0.3432 10.8035" Properties=species:S:1:pos:R:3 pbc="T T T"
Pm -0.4881 1.4482 4.9776
Pm 3.5304 4.1732 5.8259
Ho -0.4614 2.4382 1.5877
Ho -0.5136 0.4570 8.4260
Ho 0.5311 4.6858 4.0826
Ho 0.5009 3.6953 7.5737
Ho 2.5413 1.9260 3.2298
Ho 2.5111 0.9356 6.7209
Ho 3.5559 5.1643 2.3775
Ho 3.5037 3.1831 9.2158
Sc 0.5443 5.7052 0.7884
Sc 2.5176 2.9823 0.0000
Sc 2.4979 -0.0838 10.0151
```

Entry 2:
Below is TlGa2SeF after structural relaxation, with properties calculated at the PBE level.

Properties
- Uncorrected formation energy: -1.08 eV/f.u.
- Energy: -14.9 eV for the cell shown
- DOS at the Fermi energy: 0.339 states/eV/atom

The structure in extended XYZ format:
```
5
Lattice="5.3787 0.0000 0.0000 0.0000 5.3787 0.0000 0.0000 0.0000 4.4836" Properties=species:S:1:pos:R:3 pbc="T T T"
Tl 0.0000 0.0000 0.0000
Ga 0.0000 2.6894 0.0000
Ga 2.6894 0.0000 0.0000
Se 2.6894 2.6894 2.2418
F 0.0000 0.0000 2.2418
```

Entry 3:
Below is CsVTe3 after structural relaxation, with properties calculated at the PBE level.

Properties
- Uncorrected formation energy: -2.72 eV/f.u.
- Energy: -88.5 eV for the cell shown
- DOS at the Fermi energy: 0.129 states/eV/atom

The structure in extended XYZ format:
```
20
Lattice="8.0875 0.0000 0.0000 0.0000 15.3474 0.0000 -1.9922 0.0000 6.2958" Properties=species:S:1:pos:R:3 pbc="T T T"
Cs 0.8958 1.2423 1.5443
Cs -0.1003 6.4314 4.6922
Cs 6.1956 8.9160 1.6036
Cs 5.1995 14.1051 4.7515
V 2.2401 11.0437 2.2522
V 1.2440 11.9774 5.4001
V 4.8513 3.3700 0.8957
V 3.8552 4.3037 4.0436
Te -0.7874 10.5018 6.0531
Te 0.2087 12.5193 2.9052
Te 2.3536 8.3539 2.0147
Te 1.3574 14.6672 5.1626
Te 1.8040 2.9809 4.7963
Te 2.8001 4.6928 1.6484
Te 3.2952 10.6546 4.6474
Te 4.2913 12.3665 1.4995
Te 4.7378 0.6802 1.1332
Te 3.7417 6.9935 4.2811
Te 5.8866 2.8281 3.3906
Te 6.8827 4.8456 0.2427
```

Entry 4:
Below is Er4Ir after structural relaxation, with properties calculated at the PBE level.

Properties
- Energy: -53.2 eV for the cell shown
- ΔE_f: 102 meV/atom
- DOS at the Fermi energy: 1.287 states/eV/atom

The structure in extended XYZ format:
```
10
Lattice="0.0000 5.3861 5.3861 5.3861 0.0000 5.3861 5.3861 5.3861 0.0000" Properties=species:S:1:pos:R:3 pbc="T T T"
Er 8.2239 5.2414 5.2414
Er 2.5484 2.5484 2.5484
Er 5.5308 5.5308 2.5484
Er 5.5308 2.5484 5.5308
Er 5.2414 8.2239 5.2414
Er 5.2414 5.2414 8.2239
Er 8.2239 8.2239 8.2239
Er 2.5484 5.5308 5.5308
Ir 4.0396 4.0396 4.0396
Ir 6.7327 6.7327 6.7327
```

Entry 5:
Below is Zr2IrPb after structural relaxation, with properties calculated at the PBE level.

Properties
- Energy: -30.8 eV for the cell shown
- ΔE_f: -293 meV/atom
- DOS at the Fermi energy: 1.051 states/eV/atom

The structure in extended XYZ format:
```
4
Lattice="-2.2154 2.2154 4.1624 2.2154 -2.2154 4.1624 2.2154 2.2154 -4.1624" Properties=species:S:1:pos:R:3 pbc="T T T"
Zr 2.2154 0.0000 2.0812
Zr 0.0000 2.2154 2.0812
Ir 0.0000 0.0000 0.0000
Pb 0.0000 0.0000 4.1624
```

Entry 6:
Below is SiMoCl2 after structural relaxation, with properties calculated at the PBE level.

Properties
- Uncorrected formation energy: 3.21 eV/f.u.
- Energy: -16.7 eV for the cell shown
- DOS at the Fermi energy: 0.710 states/eV/atom

The structure in extended XYZ format:
```
4
Lattice="2.9758 -4.0241 0.0000 2.9758 4.0241 0.0000 0.0000 0.0000 2.9306" Properties=species:S:1:pos:R:3 pbc="T T T"
Si 0.0000 0.0000 0.0000
Mo 2.9758 0.0000 0.0000
Cl 1.4879 2.0121 1.4653
Cl 1.4879 -2.0121 1.4653
```

Entry 7:
Below is KZrPb2 after structural relaxation, with properties calculated at the PBE level.

Properties
- Energy: -16.6 eV for the cell shown
- ΔE_f: 124 meV/atom
- DOS at the Fermi energy: 0.608 states/eV/atom

The structure in extended XYZ format:
```
4
Lattice="6.2376 -1.6551 0.0000 6.2376 1.6551 0.0000 -1.0204 0.0000 5.6130" Properties=species:S:1:pos:R:3 pbc="T T T"
K 0.0000 0.0000 0.0000
Zr 2.8380 0.0000 2.5572
Pb 6.2706 0.0000 2.8894
Pb 8.3162 0.0000 5.3218
```

Entry 8:
Below is RbBiPb2 after structural relaxation, with properties calculated at the PBE level.

Properties
- Energy: -25.5 eV for the cell shown
- ΔE_f: -117 meV/atom
- DOS at the Fermi energy: 0.564 states/eV/atom

The structure in extended XYZ format:
```
8
Lattice="2.8952 -6.3862 0.0000 2.8952 6.3862 0.0000 0.0000 0.0000 8.1991" Properties=species:S:1:pos:R:3 pbc="T T T"
Rb 2.8952 5.2424 6.1493
Rb 2.8952 -5.2424 2.0498
Bi 2.8952 3.8403 2.0498
Bi 2.8952 -3.8403 6.1493
Pb 2.8952 1.5946 4.5321
Pb 2.8952 1.5946 7.7666
Pb 2.8952 -1.5946 0.4325
Pb 2.8952 -1.5946 3.6670
```

Q: Which formula does entry 2 have?
A: TlGa2SeF

Q: Which formula does entry 4 have?
A: Er4Ir

Q: Look up the energy of the fourth one.
A: -53.2 eV for the cell shown

Q: Among the records above, which one has the highest DOS at the Fermi energy?
A: Pm2Ho8Sc3